Entry 1:
## KMn2AuN (PBE)

Data for a geometry-optimized KMn2AuN structure.

As for the uncorrected formation energy: 1.296 eV per atom. The density of states at the Fermi level comes out at 0.95 states/eV per atom.

The structure belongs to space group P4/mmm (No. 123); the cell edges are 5.1438, 5.1438 and 4.3195 Å and the angles 90.00°, 90.00° and 90.00°. The distinct sites, in fractional coordinates, are K at (0.0000, 0.0000, 0.0000), Mn at (0.0000, 0.5000, 0.5000), Au at (0.5000, 0.5000, 0.5000) and N at (0.5000, 0.5000, 0.0000).


Entry 2:
## KMnAu2N (PBE)

Data for a geometry-optimized KMnAu2N structure.

As for the uncorrected formation energy: 0.907 eV per atom. The density of states at the Fermi level comes out at 0.60 states/eV per atom.

The structure belongs to space group P4/mmm (No. 123); the cell edges are 4.4018, 4.4018 and 5.1277 Å and the angles 90.00°, 90.00° and 90.00°. The distinct sites, in fractional coordinates, are K at (0.0000, 0.0000, 0.0000), Mn at (0.5000, 0.5000, 0.0000), Au at (0.0000, 0.5000, 0.5000) and N at (0.0000, 0.0000, 0.5000).


Entry 3:
## KMnOs2Au (PBE)

Data for a geometry-optimized KMnOs2Au structure.

As for the calculated formation energy: 1.359 eV/atom. The density of states at the Fermi level comes out at 1.30 states/eV per atom.

The structure belongs to space group P4/mmm (No. 123); the cell edges are 4.4775, 4.4775 and 5.1680 Å and the angles 90.00°, 90.00° and 90.00°. The distinct sites, in fractional coordinates, are K at (0.0000, 0.0000, 0.0000), Mn at (0.5000, 0.5000, 0.5000), Os at (0.0000, 0.5000, 0.5000) and Au at (0.5000, 0.5000, 0.0000).


Entry 4:
## KMnPAu (PBE)

Data for a geometry-optimized KMnPAu structure.

As for the calculated formation energy: -0.390 eV/atom. The density of states at the Fermi level comes out at 0.63 states/eV per atom.

The structure belongs to space group P4/nmm (No. 129, origin choice 2); the cell edges are 3.8367, 3.8367 and 12.2054 Å and the angles 90.00°, 90.00° and 90.00°. The distinct sites, in fractional coordinates, are K at (0.2500, 0.2500, 0.2356), Mn at (0.2500, 0.7500, 0.5000), P at (0.2500, 0.2500, 0.6011) and Au at (0.2500, 0.7500, 0.0000).


Entry 5:
## KMnAu2S (PBE)

Data for a geometry-optimized KMnAu2S structure.

As for the uncorrected formation energy: 0.488 eV per atom. The density of states at the Fermi level comes out at 0.54 states/eV per atom.

The structure belongs to space group P4/mmm (No. 123); the cell edges are 4.9059, 4.9059 and 5.6962 Å and the angles 90.00°, 90.00° and 90.00°. The distinct sites, in fractional coordinates, are K at (0.0000, 0.0000, 0.0000), Mn at (0.5000, 0.5000, 0.0000), Au at (0.0000, 0.5000, 0.5000) and S at (0.0000, 0.0000, 0.5000).


Entry 6:
## KMnTe2Au (PBE)

Data for a geometry-optimized KMnTe2Au structure.

As for the uncorrected formation energy: -0.421 eV per atom.

The structure belongs to space group Cmme (No. 67); the cell edges are 6.5356, 14.9705 and 6.6950 Å and the angles 90.00°, 90.00° and 90.00°. The distinct sites, in fractional coordinates, are K at (0.0000, 0.2500, 0.2257), Mn at (0.2500, 0.0000, 0.5000), Te at (0.0000, 0.1174, 0.7099) and Au at (0.0000, 0.0000, 0.0000).


Entry 7:
## KMnTe3Au (PBE)

Data for a geometry-optimized KMnTe3Au structure.

As for the uncorrected formation energy: -0.364 eV per atom. The density of states at the Fermi level comes out at 0.36 states/eV per atom.

The structure belongs to space group P2_1/m (No. 11); the cell edges are 8.6731, 4.0917 and 10.5227 Å and the angles 90.00°, 110.12° and 90.00°. The distinct sites, in fractional coordinates, are K at (0.2435, 0.2500, 0.2949), Mn at (0.3114, 0.7500, 0.8494), Te at (0.1118, 0.2500, 0.8787), Te at (0.2788, 0.7500, 0.5828), Te at (0.4634, 0.7500, 0.1255) and Au at (0.0523, 0.2500, 0.6050).


Entry 8:
## KYMn2Au (PBE)

Data for a geometry-optimized KYMn2Au structure.

As for the calculated formation energy: 0.541 eV/atom. The density of states at the Fermi level comes out at 1.04 states/eV per atom.

The structure belongs to space group P4/mmm (No. 123); the cell edges are 5.2264, 5.2264 and 5.4591 Å and the angles 90.00°, 90.00° and 90.00°. The distinct sites, in fractional coordinates, are K at (0.0000, 0.0000, 0.0000), Y at (0.5000, 0.5000, 0.0000), Mn at (0.0000, 0.5000, 0.5000) and Au at (0.5000, 0.5000, 0.5000).


Entry 9:
## KMoAu (PBE)

Data for a geometry-optimized KMoAu structure.

As for the calculated formation energy: 0.751 eV/atom. For the excess energy over the best structure of this formula in the dataset, the calculation gives 312 meV/atom. The density of states at the Fermi level comes out at 1.01 states/eV per atom.

The structure belongs to space group Pnma (No. 62); the cell edges are 14.8481, 7.7463 and 2.7305 Å and the angles 90.00°, 90.00° and 90.00°. The distinct sites, in fractional coordinates, are K at (0.1679, 0.2500, 0.0046), Mo at (0.0938, 0.7500, 0.0000) and Au at (0.0000, 0.0000, 0.5000).


Entry 10:
## KMoAu (PBE)

Data for a geometry-optimized KMoAu structure.

As for the calculated formation energy: 0.870 eV/atom. For the excess energy over the best structure of this formula in the dataset, the calculation gives 431 meV/atom. The density of states at the Fermi level comes out at 0.67 states/eV per atom.

The structure belongs to space group I4mm (No. 107); the cell edges are 3.6200, 3.6200 and 12.5534 Å and the angles 90.00°, 90.00° and 90.00°. The distinct sites, in fractional coordinates, are K at (0.0000, 0.0000, 0.0000), Mo at (0.0000, 0.0000, 0.2735) and Au at (0.0000, 0.0000, 0.7063).


Entry 11:
## KMo4Au (PBE)

Data for a geometry-optimized KMo4Au structure.

As for the calculated formation energy: 0.978 eV/atom. The density of states at the Fermi level comes out at 0.78 states/eV per atom.

The structure belongs to space group F-43m (No. 216); the cell edges are 7.6595, 7.6595 and 7.6595 Å and the angles 90.00°, 90.00° and 90.00°. The distinct sites, in fractional coordinates, are K at (0.0000, 0.0000, 0.0000), Mo at (0.1276, 0.1276, 0.6276) and Au at (0.2500, 0.2500, 0.2500).


Entry 12:
## KMoAu (PBE)

Data for a geometry-optimized KMoAu structure.

As for the calculated formation energy: 0.774 eV/atom. For the excess energy over the best structure of this formula in the dataset, the calculation gives 335 meV/atom. The density of states at the Fermi level comes out at 0.72 states/eV per atom.

The structure belongs to space group I4mm (No. 107); the cell edges are 2.8425, 2.8425 and 15.8315 Å and the angles 90.00°, 90.00° and 90.00°. The distinct sites, in fractional coordinates, are K at (0.0000, 0.0000, 0.0000), Mo at (0.0000, 0.0000, 0.3065) and Au at (0.0000, 0.0000, 0.6763).


Entry 13:
## KMoAu (PBE)

Data for a geometry-optimized KMoAu structure.

As for the calculated formation energy: 1.770 eV/atom. For the excess energy over the best structure of this formula in the dataset, the calculation gives 1331 meV/atom. The density of states at the Fermi level comes out at 0.72 states/eV per atom.

The structure belongs to space group F-43m (No. 216); the cell edges are 7.4155, 7.4155 and 7.4155 Å and the angles 90.00°, 90.00° and 90.00°. The distinct sites, in fractional coordinates, are K at (0.0000, 0.0000, 0.0000), Mo at (0.2500, 0.2500, 0.2500) and Au at (0.2500, 0.2500, 0.7500).


Entry 14:
## KMoAu4 (PBE)

Data for a geometry-optimized KMoAu4 structure.

As for the calculated formation energy: 0.386 eV/atom. The density of states at the Fermi level comes out at 0.24 states/eV per atom.

The structure belongs to space group F-43m (No. 216); the cell edges are 8.0010, 8.0010 and 8.0010 Å and the angles 90.00°, 90.00° and 90.00°. The distinct sites, in fractional coordinates, are K at (0.0000, 0.0000, 0.0000), Mo at (0.2500, 0.2500, 0.7500) and Au at (0.1247, 0.1247, 0.3753).


Entry 15:
## K2MoAu (PBE)

Data for a geometry-optimized K2MoAu structure.

As for the calculated formation energy: 0.836 eV/atom. For the excess energy over the best structure of this formula in the dataset, the calculation gives 184 meV/atom. The density of states at the Fermi level comes out at 0.53 states/eV per atom.

The structure belongs to space group Cm (No. 8); the cell edges are 13.7193, 3.7111 and 5.9244 Å and the angles 90.00°, 115.05° and 90.00°. The distinct sites, in fractional coordinates, are K at (0.0000, 0.0000, 0.0000), K at (0.1947, 0.0000, 0.6905), Mo at (0.4007, 0.0000, 0.4015) and Au at (0.2407, 0.5000, 0.2343).


Entry 16:
## K3MoAu (PBE)

Data for a geometry-optimized K3MoAu structure.

As for the calculated formation energy: 0.891 eV/atom. For the excess energy over the best structure of this formula in the dataset, the calculation gives 0 meV/atom. The density of states at the Fermi level comes out at 0.80 states/eV per atom.

The structure belongs to space group Pm-3m (No. 221); the cell edges are 6.3021, 6.3021 and 6.3021 Å and the angles 90.00°, 90.00° and 90.00°. The distinct sites, in fractional coordinates, are K at (0.0000, 0.0000, 0.5000), Mo at (0.5000, 0.5000, 0.5000) and Au at (0.0000, 0.0000, 0.0000).


Entry 17:
## K2MoAu (PBE)

Data for a geometry-optimized K2MoAu structure.

As for the calculated formation energy: 0.981 eV/atom. For the excess energy over the best structure of this formula in the dataset, the calculation gives 329 meV/atom. The density of states at the Fermi level comes out at 0.49 states/eV per atom.

The structure belongs to space group I4/mmm (No. 139); the cell edges are 4.4801, 4.4801 and 11.1287 Å and the angles 90.00°, 90.00° and 90.00°. The distinct sites, in fractional coordinates, are K at (0.0000, 0.5000, 0.2500), Mo at (0.0000, 0.0000, 0.0000) and Au at (0.0000, 0.0000, 0.5000).


Entry 18:
## K2MoAu (PBE)

Data for a geometry-optimized K2MoAu structure.

As for the calculated formation energy: 0.652 eV/atom. For the excess energy over the best structure of this formula in the dataset, the calculation gives 0 meV/atom. The density of states at the Fermi level comes out at 0.75 states/eV per atom.

The structure belongs to space group Pmm2 (No. 25); the cell edges are 2.9029, 4.3136 and 10.2492 Å and the angles 90.00°, 90.00° and 90.00°. The distinct sites, in fractional coordinates, are K at (0.0000, 0.0000, 0.0000), K at (0.5000, 0.5000, 0.4162), Mo at (0.0000, 0.0000, 0.6759) and Au at (0.5000, 0.5000, 0.7603).


Entry 19:
## KMoAu3 (PBE)

Data for a geometry-optimized KMoAu3 structure.

As for the calculated formation energy: 1.754 eV/atom. For the excess energy over the best structure of this formula in the dataset, the calculation gives 1235 meV/atom. The density of states at the Fermi level comes out at 0.16 states/eV per atom.

The structure belongs to space group Pm-3m (No. 221); the cell edges are 5.3934, 5.3934 and 5.3934 Å and the angles 90.00°, 90.00° and 90.00°. The distinct sites, in fractional coordinates, are K at (0.0000, 0.0000, 0.0000), Mo at (0.5000, 0.5000, 0.5000) and Au at (0.0000, 0.0000, 0.5000).


Entry 20:
## K2MoAu (PBE)

Data for a geometry-optimized K2MoAu structure.

As for the calculated formation energy: 0.675 eV/atom. For the excess energy over the best structure of this formula in the dataset, the calculation gives 23 meV/atom. The density of states at the Fermi level comes out at 0.50 states/eV per atom.

The structure belongs to space group P4mm (No. 99); the cell edges are 3.6904, 3.6904 and 10.2162 Å and the angles 90.00°, 90.00° and 90.00°. The distinct sites, in fractional coordinates, are K at (0.0000, 0.0000, 0.0000), K at (0.5000, 0.5000, 0.4132), Mo at (0.0000, 0.0000, 0.6752) and Au at (0.5000, 0.5000, 0.7554).


| no. | total moment (μB per formula unit) |
| --- | --- |
| 1 | 9.21 |
| 2 | 4.92 |
| 3 | 1.36 |
| 4 | 1.76 |
| 5 | 4.78 |
| 6 | 5.00 |
| 7 | 3.12 |
| 8 | 8.12 |
| 9 | 0.00 |
| 10 | 2.84 |
| 11 | 0.00 |
| 12 | 0.81 |
| 13 | 5.41 |
| 14 | 4.69 |
| 15 | 4.41 |
| 16 | 5.89 |
| 17 | 4.17 |
| 18 | 0.69 |
| 19 | 4.00 |
| 20 | 2.99 |